A plane-wave DFT calculation with PBE-GGA was carried out for Ho2ReN3 after structural relaxation.

```
data_Ho2ReN3
_cell_length_a 3.298
_cell_length_b 3.843
_cell_length_c 12.564
_cell_angle_alpha 90.00
_cell_angle_beta 90.00
_cell_angle_gamma 90.00
_space_group_name_H-M_alt 'I m m m'
_space_group_IT_number 71
_space_group_name_Hall '-I 2 2'
loop_
_atom_site_label
_atom_site_fract_x
_atom_site_fract_y
_atom_site_fract_z
Ho1 0.000 0.000 0.152
Re1 0.000 0.000 0.500
N1 0.000 0.000 0.336
N2 0.000 0.500 0.500
```

=====

A plane-wave DFT calculation with PBE-GGA was carried out for SmHo2ReN4 after structural relaxation.

```
data_SmHo2ReN4
_cell_length_a 3.441
_cell_length_b 11.664
_cell_length_c 11.565
_cell_angle_alpha 90.00
_cell_angle_beta 90.00
_cell_angle_gamma 90.00
_space_group_name_H-M_alt 'C m c m'
_space_group_IT_number 63
_space_group_name_Hall '-C 2c 2'
loop_
_atom_site_label
_atom_site_fract_x
_atom_site_fract_y
_atom_site_fract_z
Sm1 0.000 0.123 0.250
Ho1 0.000 0.369 0.039
Re1 0.000 0.140 0.750
N1 0.000 0.000 0.000
N2 0.000 0.264 0.628
N3 0.000 0.444 0.250
```

=====

A plane-wave DFT calculation with PBE-GGA was carried out for Sr2HoRe2N6 after structural relaxation.

```
data_Sr2HoRe2N6
_cell_length_a 6.1686
_cell_length_b 6.1686
_cell_length_c 17.6098
_cell_angle_alpha 90.00
_cell_angle_beta 90.00
_cell_angle_gamma 120.00
_space_group_name_H-M_alt 'R -3 m'
_space_group_IT_number 166
_space_group_name_Hall '-R 3 2"'
loop_
_atom_site_label
_atom_site_fract_x
_atom_site_fract_y
_atom_site_fract_z
Sr1 0.0000 0.0000 0.2088
Ho1 0.0000 0.0000 0.0000
Re1 0.0000 0.0000 0.4191
N1 0.0038 0.5019 0.7531
```

=====

A plane-wave DFT calculation with PBE-GGA was carried out for SrHo2ReN4 after structural relaxation.

```
data_SrHo2ReN4
_cell_length_a 3.438
_cell_length_b 12.069
_cell_length_c 12.140
_cell_angle_alpha 90.00
_cell_angle_beta 90.00
_cell_angle_gamma 90.00
_space_group_name_H-M_alt 'C m c m'
_space_group_IT_number 63
_space_group_name_Hall '-C 2c 2'
loop_
_atom_site_label
_atom_site_fract_x
_atom_site_fract_y
_atom_site_fract_z
Sr1 0.000 0.066 0.250
Ho1 0.000 0.372 0.041
Re1 0.000 0.193 0.750
N1 0.000 0.000 0.000
N2 0.000 0.259 0.610
N3 0.000 0.398 0.250
```

=====

Going through the records in order, we get formation energy from raw total energies values of -1.141 -1.052 -0.608 -0.989 eV/atom.